Record 1
The following is a PBE-GGA calculation of a relaxed KScRu crystal, from Alexandria via LeMat-Bulk.

Output
As for the crystal system: cubic. The energy above the most stable polymorph in this dataset comes out at 1496 meV/atom.

Cell lengths 4.6618, 4.6618, 4.6618 Å; angles 60.00, 60.00, 60.00 degrees
Sites, in units of the cell vectors:
K: 0.0000 0.0000 0.0000
Sc: 0.7500 0.7500 0.7500
Ru: 0.2500 0.2500 0.2500

Record 2
The following is a PBE-GGA calculation of a relaxed KScRu2 crystal, from Alexandria via LeMat-Bulk.

Output
As for the crystal system: monoclinic. The energy above the most stable polymorph in this dataset comes out at 209 meV/atom.

Cell lengths 4.6968, 4.6968, 7.1133 Å; angles 95.06, 95.06, 36.80 degrees
Sites, in units of the cell vectors:
K: 0.0000 0.0000 0.0000
Sc: 0.5000 0.5000 0.5000
Ru: 0.2343 0.2343 0.6477
Ru: 0.7657 0.7657 0.3523

Record 3
The following is a PBE-GGA calculation of a relaxed KScRu2 crystal, from Alexandria via LeMat-Bulk.

Output
As for the crystal system: orthorhombic. The energy above the most stable polymorph in this dataset comes out at 124 meV/atom.

Cell lengths 2.9411, 4.2015, 7.4905 Å; angles 90.00, 90.00, 90.00 degrees
Sites, in units of the cell vectors:
K: 0.0000 0.0000 0.0000
Sc: 0.0000 0.0000 0.5000
Ru: 0.5000 0.5000 0.3429
Ru: 0.5000 0.5000 0.6571

Record 4
The following is a PBE-GGA calculation of a relaxed KScRu2 crystal, from Alexandria via LeMat-Bulk.

Output
As for the crystal system: tetragonal. The energy above the most stable polymorph in this dataset comes out at 643 meV/atom.

Cell lengths 5.2241, 5.2241, 5.2241 Å; angles 132.89, 132.89, 68.83 degrees
Sites, in units of the cell vectors:
K: 0.0000 0.0000 0.0000
Sc: 0.5000 0.5000 0.0000
Ru: 0.2500 0.7500 0.5000
Ru: 0.7500 0.2500 0.5000

Record 5
The following is a PBE-GGA calculation of a relaxed KSc2Ru crystal, from Alexandria via LeMat-Bulk.

Output
As for the crystal system: trigonal. The energy above the most stable polymorph in this dataset comes out at 223 meV/atom.

Cell lengths 10.4418, 10.4418, 10.4418 Å; angles 21.27, 21.27, 21.27 degrees
Sites, in units of the cell vectors:
K: 0.0000 0.0000 0.0000
Sc: 0.1242 0.1242 0.1242
Sc: 0.8758 0.8758 0.8758
Ru: 0.5000 0.5000 0.5000

Record 6
The following is a PBE-GGA calculation of a relaxed KSc2Ru crystal, from Alexandria via LeMat-Bulk.

Output
As for the crystal system: cubic. The energy above the most stable polymorph in this dataset comes out at 575 meV/atom.

Cell lengths 4.9346, 4.9346, 4.9346 Å; angles 60.00, 60.00, 60.00 degrees
Sites, in units of the cell vectors:
K: 0.0000 0.0000 0.0000
Sc: 0.2500 0.2500 0.2500
Sc: 0.7500 0.7500 0.7500
Ru: 0.5000 0.5000 0.5000

Record 7
The following is a PBE-GGA calculation of a relaxed KScRu4 crystal, from Alexandria via LeMat-Bulk.

Output
As for the crystal system: cubic.

Cell lengths 5.3220, 5.3220, 5.3220 Å; angles 60.00, 60.00, 60.00 degrees
Sites, in units of the cell vectors:
K: 0.0000 0.0000 0.0000
Sc: 0.2500 0.2500 0.2500
Ru: 0.1264 0.6245 0.6245
Ru: 0.6245 0.1264 0.6245
Ru: 0.6245 0.6245 0.1264
Ru: 0.6245 0.6245 0.6245

Record 8
The following is a PBE-GGA calculation of a relaxed KScRu2 crystal, from Alexandria via LeMat-Bulk.

Output
As for the crystal system: tetragonal. The energy above the most stable polymorph in this dataset comes out at 222 meV/atom.

Cell lengths 2.8980, 2.8980, 9.3506 Å; angles 90.00, 90.00, 90.00 degrees
Sites, in units of the cell vectors:
K: 0.0000 0.0000 0.0000
Sc: 0.0000 0.0000 0.5000
Ru: 0.5000 0.5000 0.2943
Ru: 0.5000 0.5000 0.7057

Record 9
The following is a PBE-GGA calculation of a relaxed KSc2Ru crystal, from Alexandria via LeMat-Bulk.

Output
As for the crystal system: monoclinic. The energy above the most stable polymorph in this dataset comes out at 173 meV/atom.

Cell lengths 3.9422, 3.9422, 9.4768 Å; angles 101.90, 101.90, 60.03 degrees
Sites, in units of the cell vectors:
K: 0.0000 0.0000 0.0000
Sc: 0.2107 0.2107 0.6336
Sc: 0.7893 0.7893 0.3664
Ru: 0.5000 0.5000 0.5000

Record 10
The following is a PBE-GGA calculation of a relaxed KSc2Ru crystal, from Alexandria via LeMat-Bulk.

Output
As for the crystal system: trigonal. The energy above the most stable polymorph in this dataset comes out at 540 meV/atom.

Cell lengths 10.9954, 10.9954, 10.9954 Å; angles 16.99, 16.99, 16.99 degrees
Sites, in units of the cell vectors:
K: 0.0000 0.0000 0.0000
Sc: 0.2244 0.2244 0.2244
Sc: 0.4700 0.4700 0.4700
Ru: 0.7490 0.7490 0.7490

Record 11
The following is a PBE-GGA calculation of a relaxed KScRu2 crystal, from Alexandria via LeMat-Bulk.

Output
As for the crystal system: cubic. The energy above the most stable polymorph in this dataset comes out at 558 meV/atom.

Cell lengths 4.6989, 4.6989, 4.6989 Å; angles 60.00, 60.00, 60.00 degrees
Sites, in units of the cell vectors:
K: 0.0000 0.0000 0.0000
Sc: 0.2500 0.2500 0.2500
Ru: 0.5000 0.5000 0.5000
Ru: 0.7500 0.7500 0.7500

Record 12
The following is a PBE-GGA calculation of a relaxed KSrScRu2 crystal, from Alexandria via LeMat-Bulk.

Output
As for the crystal system: tetragonal.

Cell lengths 4.8541, 4.8541, 5.5064 Å; angles 90.00, 90.00, 90.00 degrees
Sites, in units of the cell vectors:
K: 0.0000 0.0000 0.0000
Sr: 0.5000 0.5000 0.0000
Sc: 0.0000 0.0000 0.5000
Ru: 0.0000 0.5000 0.5000
Ru: 0.5000 0.0000 0.5000

no.,V (Å³/cell),final energy (eV/atom),formation energy from the elements (eV per formula unit)
1,71.6,-3.796,5.32
2,93.6,-5.960,2.14
3,92.6,-6.044,1.80
4,75.1,-5.526,3.88
5,131.3,-5.676,0.33
6,85.0,-5.324,1.74
7,106.6,-6.924,2.99
8,78.5,-5.947,2.19
9,123.9,-5.726,0.13
10,99.0,-5.360,1.60
11,73.4,-5.611,3.54
12,129.7,-4.649,4.42